3
Lattice="5.3271 -0.1940 0.1421 4.5978 2.6157 0.6688 0.7293 -0.3450 2.8378" Properties=species:S:1:pos:R:3 comment="ScMnCr | Alexandria via LeMat-Bulk | PBE | optimized geometry" rho_g_cm3=5.91 polymorph_energy_mev_per_atom=144 total_energy_ev_per_atom=-8.268 spacegroup="I4mm, No. 107" formation_enthalpy_0k_mev_per_atom=106.6 volume_a3_per_cell=42.7 pbc="T T T"
Mn 4.0010 0.6394 2.1166
Cr 9.7039 2.3553 0.8596
Sc 6.8741 1.5038 1.4834


6
Lattice="-0.0923 -2.2231 -2.4458 2.8714 1.3985 0.8555 2.5655 -11.7315 10.5668" Properties=species:S:1:pos:R:3 comment="PrScTi | Alexandria via LeMat-Bulk | PBE | optimized geometry" rho_g_cm3=5.13 total_energy_ev_per_atom=-6.061 spacegroup="P-6m2, No. 187" formation_enthalpy_0k_mev_per_atom=273.9 volume_a3_per_cell=151.4 pbc="T T T"
Ti 3.9422 -9.2226 8.2343
Ti 2.1288 -0.9305 0.7655
Sc 3.3305 -12.1499 8.6832
Pr 1.5674 -4.0876 1.4213
Sc 3.0357 -5.0772 4.5005
Pr 2.5282 -8.4813 5.3788